Density functional theory data (GGA-PBE) for an optimized crystal structure of AcCeZn2Ga2.

Unit cell a=4.547 b=4.547 c=7.856 alpha=90.00 beta=90.00 gamma=120.00
Atoms (fractional coordinates):
Ac  0.000  0.000  0.000
Ce  0.000  0.000  0.500
Zn  0.333  0.667  0.293
Zn  0.667  0.333  0.707
Ga  0.333  0.667  0.711
Ga  0.667  0.333  0.289

Its total DFT energy (no corrections) is -3.594 eV/atom. The calculation puts the formation energy from the elements at -2.9 eV/f.u. As for the symmetry: P-3m1, No. 164. As for the density of states at the Fermi level: 5.5 states/eV/f.u.



Density functional theory data (GGA-PBE) for an optimized crystal structure of CrTePbN2.

Unit cell a=4.269 b=4.269 c=6.506 alpha=90.00 beta=90.00 gamma=90.00
Atoms (fractional coordinates):
Cr  0.000  0.000  0.000
Te  0.500  0.500  0.000
Pb  0.500  0.500  0.500
N  0.000  0.500  0.500
N  0.500  0.000  0.500

Its total DFT energy (no corrections) is -4.854 eV/atom. The polymorph energy (0 for the lowest one) is 1.022 eV per atom. As for the symmetry: P4/mmm, No. 123. As for the density of states at the Fermi level: 5.2 states/eV/f.u. For the uncorrected formation energy, the calculation gives 40.8 kcal/mol of atoms.



Density functional theory data (GGA-PBE) for an optimized crystal structure of Mn3PbW.

Unit cell a=4.719 b=4.719 c=4.719 alpha=90.00 beta=90.00 gamma=90.00
Atoms (fractional coordinates):
Mn  0.000  0.000  0.500
Mn  0.000  0.500  0.000
Mn  0.500  0.000  0.000
Pb  0.500  0.500  0.500
W  0.000  0.000  0.000

Its total DFT energy (no corrections) is -7.629 eV/atom. The calculation puts the formation energy from the elements at 6.0 eV/f.u. The polymorph energy (0 for the lowest one) is 0.000 eV per atom. As for the symmetry: Pm-3m, No. 221. As for the density of states at the Fermi level: 7.7 states/eV/f.u.



Density functional theory data (GGA-PBE) for an optimized crystal structure of Rb3YTm2Se6.

Unit cell a=7.291 b=7.291 c=8.347 alpha=98.37 beta=98.37 gamma=120.00
Atoms (fractional coordinates):
Rb  0.000  0.000  0.000
Rb  0.334  0.666  0.000
Rb  0.666  0.334  0.000
Y  0.500  0.500  0.500
Tm  0.167  0.833  0.500
Tm  0.833  0.167  0.500
Se  0.098  0.435  0.306
Se  0.228  0.228  0.694
Se  0.435  0.098  0.306
Se  0.565  0.902  0.694
Se  0.772  0.772  0.306
Se  0.902  0.565  0.694

Its total DFT energy (no corrections) is -5.001 eV/atom. As for the symmetry: C2/m, No. 12. As for the density of states at the Fermi level: 0.0 states/eV/f.u. For the uncorrected formation energy, the calculation gives -40.0 kcal/mol of atoms.